This record from Alexandria via LeMat-Bulk describes a relaxed Re2TeAu crystal. The functional is PBE.

Lattice parameters (Å, degrees): 3.0638 3.0638 25.6887 90.00 90.00 120.00
Closest atoms and distances in Å follow each position.
Fractional coordinates of all 12 atoms:
Re: 0.0000 0.0000 0.2467  3 Te 2.71, 3 Au 2.84
Re: 0.0000 0.0000 0.7533  3 Te 2.71, 3 Au 2.84
Re: 0.3333 0.6667 0.4200  3 Te 2.71, 3 Au 2.84
Re: 0.3333 0.6667 0.9133  3 Te 2.71, 3 Au 2.84
Re: 0.6667 0.3333 0.0867  3 Te 2.71, 3 Au 2.84
Re: 0.6667 0.3333 0.5800  3 Te 2.71, 3 Au 2.84
Te: 0.0000 0.0000 0.5000  6 Re 2.71
Te: 0.3333 0.6667 0.1667  6 Re 2.71
Te: 0.6667 0.3333 0.8333  6 Re 2.71
Au: 0.0000 0.0000 0.0000  6 Re 2.84, 6 Au 3.06
Au: 0.3333 0.6667 0.6667  6 Re 2.84, 6 Au 3.06
Au: 0.6667 0.3333 0.3333  6 Re 2.84, 6 Au 3.06

Values from the calculation:
As for the theoretical density: 16.63 g/cm3. As for the space-group type: R-3m. For the volume, the calculation gives 17.4 Å³/atom. For the formation energy (no corrections), the calculation gives 0.86 eV/atom.